The following is a PBE calculation of crystalline Sm2Y2CI5 at its relaxed geometry, from the Open Quantum Materials Database.

```
Sm2Y2CI5
1.0
9.567 -1.999 0.000
9.567 1.999 0.000
-1.926 0.000 8.472
Sm Y C I
2 2 1 5
Cartesian
2.414 0.000 0.561
14.795 0.000 7.911
9.194 0.000 1.598
8.015 0.000 6.874
0.000 0.000 0.000
-0.963 0.000 4.236
6.023 0.000 1.575
5.204 0.000 5.534
12.005 0.000 2.939
11.186 0.000 6.897
```

The calculation puts the calculated total energy at -50.44 eV per cell. The offset from the most stable computed form is 9 meV/atom. Its space-group type is C2/m (12). Its total moment is 0.00 μB per atom.